# PuPa2Nb

A relaxed structure of PuPa2Nb (PBE-GGA, Alexandria).

a = 3.5355 Å, b = 3.5355 Å, c = 7.1628 Å
α = 90.00°, β = 90.00°, γ = 90.00°
Atoms (fractional coordinates):
Pu (0.0000, 0.0000, 0.0000)
Pa (0.5000, 0.5000, 0.2532)
Pa (0.5000, 0.5000, 0.7468)
Nb (0.0000, 0.0000, 0.5000)

Properties
The theoretical density is 14.8 Mg/m³. The density of states at the Fermi level is 8.521 states/eV per cell. For the total energy, the calculation gives -10.73 eV/atom. As for the symmetry: P4/mmm. Its polymorph energy (0 for the lowest one) is 0.000 eV per atom. Its total magnetization is 5.0 μB/f.u.


# Pu2PaNb

A relaxed structure of Pu2PaNb (PBE-GGA, Alexandria).

a = 3.4267 Å, b = 3.4267 Å, c = 7.4452 Å
α = 90.00°, β = 90.00°, γ = 90.00°
Atoms (fractional coordinates):
Pu (0.0000, 0.0000, 0.2387)
Pu (0.0000, 0.0000, 0.7613)
Pa (0.5000, 0.5000, 0.5000)
Nb (0.5000, 0.5000, 0.0000)

Properties
The theoretical density is 15.4 Mg/m³. The density of states at the Fermi level is 11.266 states/eV per cell. For the total energy, the calculation gives -11.83 eV/atom. As for the symmetry: P4/mmm. Its polymorph energy (0 for the lowest one) is 0.000 eV per atom. Its total magnetization is 9.8 μB/f.u.